No. 1
A geometry-optimized LaCe2ZnN structure, computed with PBE.

Values from the calculation:
formation energy without anion corrections = -622.6 meV/atom
VASP energy = -5.90 eV/atom

a b c (Å): 4.841 4.841 5.103
angles (deg): 90.00 90.00 90.00
Fractional coordinates of all 5 atoms:
La 0.000 0.000 0.000
Ce 0.000 0.500 0.500
Ce 0.500 0.000 0.500
Zn 0.500 0.500 0.000
N 0.000 0.000 0.500

***

No. 2
A geometry-optimized LaCeZnN3 structure, computed with PBE.

Values from the calculation:
formation energy without anion corrections = -937.8 meV/atom
VASP energy = -7.12 eV/atom

a b c (Å): 7.334 3.527 7.604
angles (deg): 90.00 98.97 90.00
Fractional coordinates of all 12 atoms:
La 0.206 0.250 0.181
La 0.794 0.750 0.819
Ce 0.175 0.250 0.646
Ce 0.825 0.750 0.354
Zn 0.403 0.750 0.904
Zn 0.597 0.250 0.096
N 0.129 0.750 0.853
N 0.139 0.750 0.422
N 0.483 0.750 0.184
N 0.517 0.250 0.816
N 0.861 0.250 0.578
N 0.871 0.250 0.147

***

No. 3
A geometry-optimized La2CeZnN structure, computed with PBE.

Values from the calculation:
formation energy without anion corrections = -632.3 meV/atom
VASP energy = -5.71 eV/atom

a b c (Å): 5.106 5.106 4.803
angles (deg): 90.00 90.00 90.00
Fractional coordinates of all 5 atoms:
La 0.000 0.500 0.000
La 0.500 0.000 0.000
Ce 0.000 0.000 0.500
Zn 0.500 0.500 0.500
N 0.000 0.000 0.000

***

No. 4
A geometry-optimized La3CeZr2N6 structure, computed with PBE.

Values from the calculation:
formation energy without anion corrections = -1491.0 meV/atom
VASP energy = -8.80 eV/atom

a b c (Å): 6.043 6.043 6.231
angles (deg): 99.30 99.30 119.96
Fractional coordinates of all 12 atoms:
La 0.000 0.000 0.000
La 0.333 0.667 0.000
La 0.667 0.333 0.000
Ce 0.500 0.500 0.500
Zr 0.166 0.834 0.500
Zr 0.834 0.166 0.500
N 0.081 0.428 0.286
N 0.223 0.223 0.711
N 0.428 0.081 0.286
N 0.572 0.919 0.714
N 0.777 0.777 0.289
N 0.919 0.572 0.714